[1]
Entry from the Alexandria database: a PBEsol-optimized structure of OsSBrCl2 (meta-GGA SCAN).

Unit cell a=4.763 b=4.763 c=4.455 alpha=90.00 beta=90.00 gamma=90.00
Space group P4/mmm (No. 123)
Inequivalent atoms, fractional coordinates:
Os: 0.000 0.000 0.000
S: 0.000 0.000 0.500
Br: 0.500 0.500 0.500
Cl: 0.000 0.500 0.000

Output
Energy relative to the elements, uncorrected ... 1.4 eV per formula unit
Energy ... -23.1026 eV per atom

***

[2]
Entry from the Alexandria database: a PBEsol-optimized structure of TaOs2BrCl (meta-GGA SCAN).

Unit cell a=4.868 b=4.868 c=5.015 alpha=90.00 beta=90.00 gamma=90.00
Space group P4/mmm (No. 123)
Inequivalent atoms, fractional coordinates:
Ta: 0.000 0.000 0.000
Os: 0.000 0.500 0.000
Br: 0.000 0.000 0.500
Cl: 0.500 0.500 0.500

Output
Energy relative to the elements, uncorrected ... 8.5 eV per formula unit
Energy ... -45.8658 eV per atom